No. 1
The following is a PBE-GGA calculation of an optimized crystal structure of DyLu, from Alexandria.

```
2
Lattice="3.937 0.000 0.000 0.000 3.937 0.000 0.000 0.000 3.937" Properties=species:S:1:pos:R:3 pbc="T T T"
Dy 0.000 0.000 0.000
Lu 1.969 1.969 1.969
```

Computed properties:
The value obtained for the polymorph energy (0 for the lowest one) is 71 meV per atom. The density of states at the Fermi level is 1.492 states/eV/atom. Its space group is Pm-3m (221). As for the final energy: -4.447 eV per atom. The value obtained for the calculated formation energy is 22 kJ/mol of formula units.

---

No. 2
The following is a PBE-GGA calculation of an optimized crystal structure of DyLu, from Alexandria.

```
4
Lattice="3.452 0.000 0.000 0.000 5.420 0.000 -1.712 0.000 6.487" Properties=species:S:1:pos:R:3 pbc="T T T"
Dy 0.002 1.355 2.212
Dy 1.738 4.065 4.276
Lu 0.016 1.355 5.639
Lu 1.724 4.065 0.848
```

Computed properties:
The value obtained for the polymorph energy (0 for the lowest one) is 0 meV per atom. The density of states at the Fermi level is 1.744 states/eV/atom. Its space group is P2_1/m (11). As for the final energy: -4.517 eV per atom. The value obtained for the calculated formation energy is 9 kJ/mol of formula units.

---

No. 3
The following is a PBE-GGA calculation of an optimized crystal structure of DyLu2, from Alexandria.

```
6
Lattice="0.000 4.569 4.569 4.569 0.000 4.569 4.569 4.569 0.000" Properties=species:S:1:pos:R:3 pbc="T T T"
Dy 1.142 1.142 1.142
Dy 7.995 7.995 7.995
Lu 4.569 2.284 2.284
Lu 2.284 4.569 2.284
Lu 2.284 2.284 4.569
Lu 4.569 4.569 4.569
```

Computed properties:
The value obtained for the polymorph energy (0 for the lowest one) is 270 meV per atom. The density of states at the Fermi level is 2.524 states/eV/atom. Its space group is Fd-3m (227). As for the final energy: -4.248 eV per atom. The value obtained for the calculated formation energy is 87 kJ/mol of formula units.